Entry 1:
# PBE-GGA Y2MgFe, optimized geometry
data_Y2MgFe
_space_group_name_H-M_alt 'I -4 m 2'
_space_group_IT_number 119
_space_group_name_Hall 'I -4 -2'
_cell_length_a 4.414
_cell_length_b 4.414
_cell_length_c 9.743
_cell_angle_alpha 90.00
_cell_angle_beta 90.00
_cell_angle_gamma 90.00
loop_
_atom_site_label
_atom_site_type_symbol
_atom_site_fract_x
_atom_site_fract_y
_atom_site_fract_z
Y1 Y 0.000 0.000 0.000
Y2 Y 0.000 0.500 0.250
Mg1 Mg 0.000 0.000 0.500
Fe1 Fe 0.000 0.500 0.750
# magnetization	2.481	μB per cell
# N(E_F)	9.6	states/eV/cell
# electronic total energy	-5.50	eV/atom



Entry 2:
# PBE-GGA Y12MgFe6, optimized geometry
data_Y12MgFe6
_space_group_name_H-M_alt 'I m -3'
_space_group_IT_number 204
_space_group_name_Hall '-I 2 2 3'
_cell_length_a 9.796
_cell_length_b 9.796
_cell_length_c 9.796
_cell_angle_alpha 90.00
_cell_angle_beta 90.00
_cell_angle_gamma 90.00
loop_
_atom_site_label
_atom_site_type_symbol
_atom_site_fract_x
_atom_site_fract_y
_atom_site_fract_z
Y1 Y 0.000 0.196 0.301
Mg1 Mg 0.000 0.000 0.000
Fe1 Fe 0.000 0.392 0.500
# magnetization	10.511	μB per cell
# N(E_F)	40.9	states/eV/cell
# electronic total energy	-6.85	eV/atom



Entry 3:
# PBE-GGA Y2MgFe, optimized geometry
data_Y2MgFe
_space_group_name_H-M_alt 'F -4 3 m'
_space_group_IT_number 216
_space_group_name_Hall 'F -4 2 3'
_cell_length_a 7.123
_cell_length_b 7.123
_cell_length_c 7.123
_cell_angle_alpha 90.00
_cell_angle_beta 90.00
_cell_angle_gamma 90.00
loop_
_atom_site_label
_atom_site_type_symbol
_atom_site_fract_x
_atom_site_fract_y
_atom_site_fract_z
Y1 Y 0.000 0.000 0.000
Y2 Y 0.250 0.250 0.250
Mg1 Mg 0.000 0.000 0.500
Fe1 Fe 0.250 0.250 0.750
# magnetization	6.704	μB per cell
# N(E_F)	23.3	states/eV/cell
# electronic total energy	-5.43	eV/atom



Entry 4:
# PBE-GGA Y4MgFe, optimized geometry
data_Y4MgFe
_space_group_name_H-M_alt 'C 1 2/m 1'
_space_group_IT_number 12
_space_group_name_Hall '-C 2y'
_cell_length_a 16.664
_cell_length_b 7.252
_cell_length_c 5.836
_cell_angle_alpha 90.00
_cell_angle_beta 110.39
_cell_angle_gamma 90.00
loop_
_atom_site_label
_atom_site_type_symbol
_atom_site_fract_x
_atom_site_fract_y
_atom_site_fract_z
Y1 Y 0.000 0.230 0.000
Y2 Y 0.120 0.244 0.620
Y3 Y 0.178 0.500 0.194
Mg1 Mg 0.193 0.000 0.190
Fe1 Fe 0.015 0.500 0.330
# magnetization	0.019	μB per cell
# N(E_F)	28.9	states/eV/cell
# electronic total energy	-5.99	eV/atom



Entry 5:
# PBE-GGA Y2MgFe, optimized geometry
data_Y2MgFe
_space_group_name_H-M_alt 'I -4 2 d'
_space_group_IT_number 122
_space_group_name_Hall 'I -4 2bw'
_cell_length_a 8.053
_cell_length_b 8.053
_cell_length_c 6.084
_cell_angle_alpha 90.00
_cell_angle_beta 90.00
_cell_angle_gamma 90.00
loop_
_atom_site_label
_atom_site_type_symbol
_atom_site_fract_x
_atom_site_fract_y
_atom_site_fract_z
Y1 Y 0.177 0.250 0.125
Mg1 Mg 0.000 0.000 0.500
Fe1 Fe 0.000 0.000 0.000
# magnetization	0.000	μB per cell
# N(E_F)	5.7	states/eV/cell
# electronic total energy	-5.35	eV/atom



Entry 6:
# PBE-GGA YMg14Fe, optimized geometry
data_YMg14Fe
_space_group_name_H-M_alt 'A m m 2'
_space_group_IT_number 38
_space_group_name_Hall 'A 2 -2'
_cell_length_a 10.268
_cell_length_b 6.199
_cell_length_c 11.329
_cell_angle_alpha 90.00
_cell_angle_beta 90.00
_cell_angle_gamma 90.00
loop_
_atom_site_label
_atom_site_type_symbol
_atom_site_fract_x
_atom_site_fract_y
_atom_site_fract_z
Y1 Y 0.000 0.000 0.000
Mg1 Mg 0.000 0.241 0.251
Mg2 Mg 0.221 0.000 0.634
Mg3 Mg 0.247 0.246 0.398
Mg4 Mg 0.260 0.000 0.151
Mg5 Mg 0.500 0.000 0.486
Mg6 Mg 0.500 0.000 0.983
Mg7 Mg 0.500 0.245 0.735
Fe1 Fe 0.000 0.000 0.475
# magnetization	3.850	μB per cell
# N(E_F)	18.9	states/eV/cell
# electronic total energy	-2.27	eV/atom



Entry 7:
# PBE-GGA Y2MgFe, optimized geometry
data_Y2MgFe
_space_group_name_H-M_alt 'P 4/m m m'
_space_group_IT_number 123
_space_group_name_Hall '-P 4 2'
_cell_length_a 5.077
_cell_length_b 5.077
_cell_length_c 3.656
_cell_angle_alpha 90.00
_cell_angle_beta 90.00
_cell_angle_gamma 90.00
loop_
_atom_site_label
_atom_site_type_symbol
_atom_site_fract_x
_atom_site_fract_y
_atom_site_fract_z
Y1 Y 0.000 0.500 0.000
Mg1 Mg 0.000 0.000 0.500
Fe1 Fe 0.500 0.500 0.500
# magnetization	1.600	μB per cell
# N(E_F)	8.7	states/eV/cell
# electronic total energy	-5.61	eV/atom



Entry 8:
# PBE-GGA Y2MgFe, optimized geometry
data_Y2MgFe
_space_group_name_H-M_alt 'P 1 2/m 1'
_space_group_IT_number 10
_space_group_name_Hall '-P 2y'
_cell_length_a 3.372
_cell_length_b 3.380
_cell_length_c 8.214
_cell_angle_alpha 90.00
_cell_angle_beta 90.08
_cell_angle_gamma 90.00
loop_
_atom_site_label
_atom_site_type_symbol
_atom_site_fract_x
_atom_site_fract_y
_atom_site_fract_z
Y1 Y 0.001 0.000 0.303
Mg1 Mg 0.500 0.500 0.000
Fe1 Fe 0.500 0.500 0.500
# magnetization	0.000	μB per cell
# N(E_F)	3.1	states/eV/cell
# electronic total energy	-5.73	eV/atom